12
Lattice="-4.989 0.476 0.642 0.480 -1.749 6.946 3.189 5.918 -0.274" Properties=species:S:1:pos:R:3 comment="GGA-PBE ScAl4Rh, relaxed" volume_a3_per_cell=218.7 delta_e_f_ev_per_atom=-0.340 spacegroup="P-1 (2)" total_magnetization_mub_per_fu=0.00 n_ef_per_ev_cell=6.56 pbc="T T T"
Al -0.996 3.108 2.653
Al 0.386 5.106 0.708
Al -2.645 2.470 6.404
Al -0.325 1.537 4.661
Al -2.350 0.486 3.209
Al -1.707 -0.461 6.606
Al 1.324 2.175 0.910
Al 1.029 4.159 4.105
Sc -0.089 -0.363 1.787
Sc -1.232 5.008 5.527
Rh -0.900 3.197 0.184
Rh 1.834 2.084 3.336